Entry 1:
Compound: LiCrSCl2
Source: Alexandria
Functional: PBEsol
Structure: relaxed

Formation energy (no corrections): -0.10 eV/atom
ρ: 2.951 g cm⁻³
Space group: No. 123
DOS(E_F): 4.7 states/eV/f.u.
Final energy: -4.221 eV per atom

Lattice parameters (Å, degrees): 4.3937 4.3937 4.7188 90.00 90.00 90.00
Positions (direct):
Li 0.0000 0.0000 0.0000
Cr 0.5000 0.5000 0.5000
S 0.0000 0.0000 0.5000
Cl 0.0000 0.5000 0.0000
Cl 0.5000 0.0000 0.0000

Entry 2:
Compound: Sr2ZnNiIr
Source: Alexandria
Functional: PBEsol
Structure: relaxed

ΔE_f: 0.48 eV per atom
ρ: 6.668 g cm⁻³
Space group: No. 123
DOS(E_F): 3.2 states/eV/f.u.
Final energy: -3.764 eV per atom

Lattice parameters (Å, degrees): 5.2862 5.2862 4.3807 90.00 90.00 90.00
Positions (direct):
Sr 0.0000 0.5000 0.0000
Sr 0.5000 0.0000 0.0000
Zn 0.0000 0.0000 0.5000
Ni 0.0000 0.0000 0.0000
Ir 0.5000 0.5000 0.5000